(1)
{
  "formula": "PmHo2Rh4",
  "functional": "PBE-GGA",
  "state": "optimized geometry",
  "lattice_angstrom": [[4.688, 0.000, 0.000], [0.000, 4.688, 0.000], [0.000, 0.000, 6.698]],
  "species": ["Pm", "Ho", "Ho", "Rh", "Rh", "Rh", "Rh"],
  "fractional_positions": [[0.000, 0.000, 0.000], [0.000, 0.000, 0.500], [0.500, 0.500, 0.000], [0.000, 0.500, 0.261], [0.000, 0.500, 0.739], [0.500, 0.000, 0.261], [0.500, 0.000, 0.739]],
  "space_group": "P4/mmm (123)",
  "m_tot_mub_per_cell": 0.0,
  "formation_enthalpy_0k_ev_per_atom": -0.416,
  "vol_a3_per_atom": 21.030
}

(2)
{
  "formula": "Li2BeCdCl",
  "functional": "PBE-GGA",
  "state": "optimized geometry",
  "lattice_angstrom": [[5.298, 0.000, 0.000], [0.000, 5.298, 0.000], [0.000, 0.000, 5.560]],
  "species": ["Li", "Li", "Be", "Cd", "Cl"],
  "fractional_positions": [[0.000, 0.500, 0.000], [0.500, 0.000, 0.000], [0.000, 0.000, 0.500], [0.500, 0.500, 0.000], [0.500, 0.500, 0.500]],
  "space_group": "P4/mmm (123)",
  "m_tot_mub_per_cell": 0.0,
  "formation_energy_uncorrected_ev_per_atom": 0.545,
  "vol_a3_per_atom": 31.214
}